The following is a DFT calculation (meta-GGA SCAN) of a crystal of LiTlPHO3 relaxed with PBEsol.

Geometry as POSCAR:
```
LiTlPHO3
1.0
5.045 0.000 0.000
0.000 5.353 0.006
-2.522 -0.078 7.077
H Tl P O Li
2 2 2 6 2
Cartesian
-0.280 1.163 6.296
2.242 4.111 0.787
0.093 1.318 1.282
2.615 3.956 5.801
0.294 1.626 5.072
2.816 3.649 2.011
-0.355 0.777 3.961
2.168 4.498 3.122
-0.050 3.119 4.970
2.472 2.156 2.113
1.810 1.396 5.185
4.332 3.879 1.898
2.778 0.944 3.573
0.255 4.330 3.510
```

The volume is 13.7 A^3/atom. The electronic total energy is -240.2 eV for the cell shown. As for the symmetry: C2, No. 5.